Below is an optimized crystal structure of Nb2HPdAu, with properties calculated at the GGA-PBE level.

As for the size of the total moment: 0.000 μB per atom. The value obtained for the polymorph energy (0 for the lowest one) is 65 meV/atom. The calculated density comes out at 11.5 g cm⁻³.

It has space group P4/mmm (No. 123), with a = 4.077 Å, b = 4.077 Å, c = 4.275 Å, α = 90.00°, β = 90.00° and γ = 90.00°. The asymmetric unit holds Nb at (0.000, 0.500, 0.000), H at (0.000, 0.000, 0.000), Pd at (0.500, 0.500, 0.500) and Au at (0.000, 0.000, 0.500).

=====

Below is an optimized crystal structure of Nb2HPdAu, with properties calculated at the GGA-PBE level.

As for the size of the total moment: 0.000 μB per atom. The value obtained for the polymorph energy (0 for the lowest one) is 0 meV/atom. The calculated density comes out at 11.5 g cm⁻³.

It has space group P4/mmm (No. 123), with a = 4.109 Å, b = 4.109 Å, c = 4.192 Å, α = 90.00°, β = 90.00° and γ = 90.00°. The asymmetric unit holds Nb at (0.000, 0.500, 0.000), H at (0.000, 0.000, 0.000), Pd at (0.000, 0.000, 0.500) and Au at (0.500, 0.500, 0.500).

=====

Below is an optimized crystal structure of NbHRh2Au, with properties calculated at the GGA-PBE level.

As for the size of the total moment: 0.001 μB per atom. The calculated density comes out at 12.5 g cm⁻³. The calculation puts the total energy at -6.441 eV/atom.

It has space group P4/mmm (No. 123), with a = 4.049 Å, b = 4.049 Å, c = 4.015 Å, α = 90.00°, β = 90.00° and γ = 90.00°. The asymmetric unit holds Nb at (0.000, 0.000, 0.000), H at (0.000, 0.000, 0.500), Rh at (0.000, 0.500, 0.500) and Au at (0.500, 0.500, 0.000).

=====

Below is an optimized crystal structure of Nb2HRuAu, with properties calculated at the GGA-PBE level.

As for the size of the total moment: 0.000 μB per atom. The value obtained for the polymorph energy (0 for the lowest one) is 109 meV/atom. The calculated density comes out at 11.6 g cm⁻³.

It has space group P4/mmm (No. 123), with a = 4.068 Å, b = 4.068 Å, c = 4.178 Å, α = 90.00°, β = 90.00° and γ = 90.00°. The asymmetric unit holds Nb at (0.000, 0.500, 0.000), H at (0.000, 0.000, 0.000), Ru at (0.500, 0.500, 0.500) and Au at (0.000, 0.000, 0.500).